[1]
Entry from Alexandria via LeMat-Bulk: crystalline Co2CN at its relaxed geometry (PBE).

Cell lengths 3.5465, 3.5465, 3.5465 Å; angles 60.00, 60.00, 60.00 degrees
Sites, in units of the cell vectors:
Co 0.2500 0.2500 0.2500
Co 0.7500 0.7500 0.7500
C 0.0000 0.0000 0.0000
N 0.5000 0.5000 0.5000

Output
Its uncorrected formation energy is 1.12 eV per atom. The calculation puts the distance to the lowest polymorph of the same formula at 778 meV per atom. The energy is -27.26 eV for the cell shown.


[2]
Entry from Alexandria via LeMat-Bulk: crystalline Pr2ThBi3 at its relaxed geometry (PBE).

Cell lengths 15.3611, 14.6466, 8.0091 Å; angles 79.51, 69.65, 30.84 degrees
Sites, in units of the cell vectors:
Pr 0.0422 0.0422 0.2078
Pr 0.1244 0.1244 0.6256
Pr 0.2078 0.2078 0.0422
Pr 0.3744 0.3744 0.8756
Pr 0.6256 0.6256 0.1244
Pr 0.7922 0.7922 0.9578
Pr 0.8756 0.8756 0.3744
Pr 0.9578 0.9578 0.7922
Th 0.2915 0.2915 0.4585
Th 0.4585 0.4585 0.2915
Th 0.5415 0.5415 0.7085
Th 0.7085 0.7085 0.5415
Bi 0.0413 0.5410 0.2116
Bi 0.1280 0.6220 0.6220
Bi 0.2116 0.7061 0.0413
Bi 0.2939 0.7884 0.4590
Bi 0.3780 0.8720 0.8720
Bi 0.4590 0.9587 0.2939
Bi 0.5410 0.0413 0.7061
Bi 0.6220 0.1280 0.1280
Bi 0.7061 0.2116 0.5410
Bi 0.7884 0.2939 0.9587
Bi 0.8720 0.3780 0.3780
Bi 0.9587 0.4590 0.7884

Output
The energy is -134.82 eV for the cell shown. The energy of formation from the pure elements is -0.85 eV per atom.


[3]
Entry from Alexandria via LeMat-Bulk: crystalline Ho2ThI at its relaxed geometry (PBE).

Cell lengths 10.6005, 10.6005, 10.6005 Å; angles 20.25, 20.25, 20.25 degrees
Sites, in units of the cell vectors:
Ho 0.2459 0.2459 0.2459
Ho 0.7541 0.7541 0.7541
Th 0.0000 0.0000 0.0000
I 0.5000 0.5000 0.5000

Output
Its uncorrected formation energy is -0.36 eV per atom. The calculation puts the distance to the lowest polymorph of the same formula at 0 meV per atom. The energy is -19.56 eV for the cell shown.


energy of number 2 (Pr2ThBi3)?
-134.82 eV for the cell shown


energy of number 3 (Ho2ThI)?
-19.56 eV for the cell shown


Number 2 is which compound?
Pr2ThBi3